Compound: Cs2K5Na12
Source: Alexandria via LeMat-Bulk
Functional: PBE-GGA
Structure: relaxed

## Properties
Energy of formation from the pure elements, eV per atom: 0.044
VASP energy, eV per atom: -1.167
Crystal system: trigonal
D(E_F), states/eV/cell: 11.7
Space-group type: R-3m, No. 166

Unit cell a=10.108 b=10.108 c=10.108 alpha=83.22 beta=83.22 gamma=83.22
Atoms (fractional coordinates):
Cs 0.149 0.149 0.149
Cs 0.851 0.851 0.851
K 0.000 0.500 0.500
K 0.403 0.403 0.403
K 0.500 0.000 0.500
K 0.500 0.500 0.000
K 0.597 0.597 0.597
Na 0.153 0.153 0.680
Na 0.153 0.680 0.153
Na 0.177 0.500 0.823
Na 0.177 0.823 0.500
Na 0.320 0.847 0.847
Na 0.500 0.177 0.823
Na 0.500 0.823 0.177
Na 0.680 0.153 0.153
Na 0.823 0.177 0.500
Na 0.823 0.500 0.177
Na 0.847 0.320 0.847
Na 0.847 0.847 0.320